This record from Alexandria describes Hf2MgIrN after structural relaxation. The functional is PBE.

Summary:
Volume, Å³/f.u.: 78.1
Energy, eV per atom: -8.66
Raw formation energy, eV per atom: -0.921

a = 4.408 Å, b = 4.408 Å, c = 4.019 Å
α = 90.00°, β = 90.00°, γ = 90.00°
Fractional coordinates of all 5 atoms:
Hf 0.000 0.500 0.000
Hf 0.500 0.000 0.000
Mg 0.000 0.000 0.500
Ir 0.500 0.500 0.500
N 0.000 0.000 0.000